# 1
Below is a relaxed Ca2NdCd crystal, with properties calculated at the PBE level.

Results
Calculated volume, Å³ per atom: 33.29
Energy of formation, eV per formula unit: -0.42

Cell lengths 3.670, 3.670, 9.885 Å; angles 90.00, 90.00, 90.00 degrees
Fractional coordinates of all 4 atoms:
1 Ca 0.000 0.000 0.209
2 Ca 0.000 0.000 0.791
3 Nd 0.500 0.500 0.500
4 Cd 0.500 0.500 0.000

=====

# 2
Below is a relaxed AlB2Se crystal, with properties calculated at the PBE level.

Results
Calculated volume, Å³ per atom: 14.79
Energy, Ha/atom: -0.1696

Cell lengths 4.975, 4.975, 9.564 Å; angles 90.00, 90.00, 90.00 degrees
Fractional coordinates of all 16 atoms:
1 Al 0.000 0.000 0.000
2 Al 0.000 0.500 0.250
3 Al 0.500 0.000 0.750
4 Al 0.500 0.500 0.500
5 B 0.236 0.250 0.625
6 B 0.250 0.736 0.875
7 B 0.250 0.764 0.375
8 B 0.264 0.250 0.125
9 B 0.736 0.750 0.125
10 B 0.750 0.236 0.375
11 B 0.750 0.264 0.875
12 B 0.764 0.750 0.625
13 Se 0.000 0.000 0.500
14 Se 0.000 0.500 0.750
15 Se 0.500 0.000 0.250
16 Se 0.500 0.500 0.000

=====

# 3
Below is a relaxed YSc2Rh crystal, with properties calculated at the PBE level.

Results
Calculated volume, Å³ per atom: 24.06
Energy of formation, eV per formula unit: -0.56

Cell lengths 3.299, 3.299, 30.625 Å; angles 90.00, 90.00, 120.00 degrees
Fractional coordinates of all 12 atoms:
1 Y 0.000 0.000 0.000
2 Y 0.333 0.667 0.667
3 Y 0.667 0.333 0.333
4 Sc 0.000 0.000 0.106
5 Sc 0.000 0.000 0.894
6 Sc 0.333 0.667 0.561
7 Sc 0.333 0.667 0.772
8 Sc 0.667 0.333 0.228
9 Sc 0.667 0.333 0.439
10 Rh 0.000 0.000 0.500
11 Rh 0.333 0.667 0.167
12 Rh 0.667 0.333 0.833

=====

# 4
Below is a relaxed Ba4MgCd2 crystal, with properties calculated at the PBE level.

Results
Calculated volume, Å³ per atom: 44.88
Energy of formation, eV per formula unit: -1.01

Cell lengths 8.537, 8.537, 8.622 Å; angles 90.00, 90.00, 90.00 degrees
Fractional coordinates of all 14 atoms:
1 Ba 0.250 0.250 0.250
2 Ba 0.250 0.250 0.750
3 Ba 0.250 0.750 0.250
4 Ba 0.250 0.750 0.750
5 Ba 0.750 0.250 0.250
6 Ba 0.750 0.250 0.750
7 Ba 0.750 0.750 0.250
8 Ba 0.750 0.750 0.750
9 Mg 0.000 0.000 0.000
10 Mg 0.500 0.500 0.500
11 Cd 0.000 0.500 0.000
12 Cd 0.000 0.500 0.500
13 Cd 0.500 0.000 0.000
14 Cd 0.500 0.000 0.500